VASP calculation (PBE) on crystalline TbPm5Sm2Er at its relaxed geometry.

Cell: 8.666 8.666 10.194 Å, 115.16 115.16 90.00°
Atoms (fractional coordinates):
Tb 0.250 0.250 0.500
Tb 0.750 0.750 0.500
Pm 0.928 0.428 0.282
Pm 0.646 0.146 0.718
Pm 0.072 0.572 0.718
Pm 0.146 0.072 0.718
Pm 0.572 0.646 0.718
Pm 0.854 0.928 0.282
Pm 0.428 0.354 0.282
Pm 0.354 0.854 0.282
Pm 0.500 0.500 0.000
Pm 0.000 0.000 0.000
Sm 0.120 0.380 0.000
Sm 0.620 0.120 0.000
Sm 0.380 0.880 0.000
Sm 0.880 0.620 0.000
Er 0.250 0.750 0.500
Er 0.750 0.250 0.500

## Properties
* space group: I4/mcm, No. 140
* V: 612 Å³/cell
* energy of formation from the pure elements: 0.286 eV per atom
* total moment: 0.0 Bohr magnetons per cell